HoErSc2Se4 | PBE | optimized geometry

Cell: 6.8696 3.9369 6.8873 Å, 90.00 109.14 90.00°
Last column: nearest neighbours and their distance in Å.
Space group P2/m (No. 10)
One atom of each set of equivalent atoms:
Ho  0.0000  0.0000  0.0000 (multiplicity 1)  6 Se 2.85
Er  0.0000  0.5000  0.5000 (multiplicity 1)  6 Se 2.85
Sc  0.5000  0.0000  0.5000 (multiplicity 1)  6 Se 2.75
Sc  0.5000  0.5000  0.0000 (multiplicity 1)  6 Se 2.76
Se  0.2623  0.0000  0.7533 (multiplicity 2)  3 Sc 2.75-2.76, 2 Er 2.85, 1 Ho 2.85
Se  0.2629  0.5000  0.2552 (multiplicity 2)  3 Sc 2.75-2.76, 1 Er 2.85, 2 Ho 2.85

## Properties
ρ ... 6.96 g cm⁻³
Fermi-level density of states ... 5.10 states/eV per cell
Energy ... -48.91 eV/cell